VASP calculation (GGA+U) on crystalline LiMg30MnO32 at its relaxed geometry.

Geometry as POSCAR:
```
LiMg30MnO32
1.0
8.490 0.000 0.000
0.000 8.490 0.000
0.000 0.000 8.554
Li Mg Mn O
1 30 1 32
direct
0.000 0.000 0.000
0.000 0.000 0.500
0.000 0.247 0.248
0.000 0.247 0.752
0.000 0.500 0.000
0.000 0.500 0.500
0.000 0.753 0.248
0.000 0.753 0.752
0.244 0.244 0.000
0.244 0.756 0.000
0.247 0.000 0.248
0.247 0.000 0.752
0.249 0.249 0.500
0.249 0.500 0.253
0.249 0.500 0.747
0.249 0.751 0.500
0.500 0.000 0.000
0.500 0.000 0.500
0.500 0.249 0.253
0.500 0.249 0.747
0.500 0.500 0.500
0.500 0.751 0.253
0.500 0.751 0.747
0.751 0.249 0.500
0.751 0.500 0.253
0.751 0.500 0.747
0.751 0.751 0.500
0.753 0.000 0.248
0.753 0.000 0.752
0.756 0.244 0.000
0.756 0.756 0.000
0.500 0.500 0.000
0.000 0.000 0.256
0.000 0.000 0.744
0.000 0.252 0.500
0.000 0.259 0.000
0.000 0.500 0.248
0.000 0.500 0.752
0.000 0.741 0.000
0.000 0.748 0.500
0.249 0.500 0.500
0.251 0.251 0.249
0.251 0.251 0.751
0.251 0.749 0.249
0.251 0.749 0.751
0.252 0.000 0.500
0.259 0.000 0.000
0.263 0.500 0.000
0.500 0.000 0.248
0.500 0.000 0.752
0.500 0.249 0.500
0.500 0.263 0.000
0.500 0.500 0.257
0.500 0.500 0.743
0.500 0.737 0.000
0.500 0.751 0.500
0.737 0.500 0.000
0.741 0.000 0.000
0.748 0.000 0.500
0.749 0.251 0.249
0.749 0.251 0.751
0.749 0.749 0.249
0.749 0.749 0.751
0.751 0.500 0.500
```

Computed properties:
Electronic total energy = -385.05 eV/cell
Total magnetic moment = 4.00 Bohr magnetons per cell

VASP calculation (GGA+U) on crystalline LiMg6MnO8 at its relaxed geometry.

Geometry as POSCAR:
```
LiMg6MnO8
1.0
4.250 0.000 0.000
0.000 4.250 0.000
0.000 0.000 8.512
Li Mg Mn O
1 6 1 8
direct
0.000 0.000 0.000
0.000 0.500 0.238
0.000 0.500 0.762
0.500 0.000 0.238
0.500 0.000 0.762
0.500 0.500 0.000
0.500 0.500 0.500
0.000 0.000 0.500
0.000 0.000 0.270
0.000 0.000 0.730
0.000 0.500 0.000
0.000 0.500 0.500
0.500 0.000 0.000
0.500 0.000 0.500
0.500 0.500 0.253
0.500 0.500 0.747
```

Computed properties:
Fermi-level density of states = 0.70 states/eV/cell
Energy above the lowest structure with this stoichiometry = 0 meV per atom
Total magnetic moment = 4.00 Bohr magnetons per cell

VASP calculation (GGA+U) on crystalline Li2MgMnO4 at its relaxed geometry.

Geometry as POSCAR:
```
Li2MgMnO4
1.0
-2.922 2.980 4.142
2.922 -2.980 4.142
2.922 2.980 -4.142
Li Mg Mn O
4 2 2 8
direct
0.000 0.000 0.000
0.500 0.000 0.000
0.500 0.000 0.500
0.500 0.500 0.500
0.000 0.500 0.500
0.500 0.500 0.000
0.000 0.000 0.500
0.000 0.500 0.000
0.223 0.750 0.473
0.224 0.250 0.973
0.233 0.240 0.507
0.233 0.726 0.993
0.767 0.274 0.007
0.767 0.760 0.493
0.776 0.750 0.027
0.777 0.250 0.527
```

Computed properties:
Electronic total energy = -97.47 eV/cell
Total magnetic moment = 5.99 Bohr magnetons per cell

VASP calculation (GGA+U) on crystalline LiMg2MnO4 at its relaxed geometry.

Geometry as POSCAR:
```
LiMg2MnO4
1.0
-2.129 2.129 4.143
2.129 -2.129 4.143
2.129 2.129 -4.143
Li Mg Mn O
1 2 1 4
direct
0.000 0.000 0.000
0.500 0.500 0.000
0.750 0.250 0.500
0.250 0.750 0.500
0.011 0.511 0.500
0.254 0.254 0.000
0.489 0.989 0.500
0.746 0.746 0.000
```

Computed properties:
Fermi-level density of states = 0.64 states/eV/cell
Electronic total energy = -50.23 eV/cell
Total magnetic moment = 4.00 Bohr magnetons per cell

VASP calculation (GGA+U) on crystalline LiMgMn2O4 at its relaxed geometry.

Geometry as POSCAR:
```
LiMgMn2O4
1.0
5.209 0.000 0.000
0.000 3.012 0.000
-1.760 0.000 5.019
Li Mg Mn O
1 1 2 4
direct
0.000 0.000 0.000
0.000 0.500 0.500
0.500 0.000 0.500
0.500 0.500 0.000
0.253 0.000 0.726
0.266 0.500 0.277
0.734 0.500 0.723
0.747 0.000 0.274
```

Computed properties:
Electronic total energy = -52.88 eV/cell
Total magnetic moment = 6.99 Bohr magnetons per cell

VASP calculation (GGA+U) on crystalline LiMg6MnO8 at its relaxed geometry.

Geometry as POSCAR:
```
LiMg6MnO8
1.0
4.232 0.000 0.000
0.000 4.232 0.000
0.000 0.000 8.509
Li Mg Mn O
1 6 1 8
direct
0.000 0.000 0.000
0.000 0.000 0.500
0.000 0.500 0.246
0.000 0.500 0.754
0.500 0.000 0.246
0.500 0.000 0.754
0.500 0.500 0.500
0.500 0.500 0.000
0.000 0.000 0.257
0.000 0.000 0.743
0.000 0.500 0.000
0.000 0.500 0.500
0.500 0.000 0.000
0.500 0.000 0.500
0.500 0.500 0.239
0.500 0.500 0.761
```

Computed properties:
Fermi-level density of states = 1.05 states/eV/cell
Energy above the lowest structure with this stoichiometry = 2 meV per atom
Total magnetic moment = 4.00 Bohr magnetons per cell